[1]
The following is a PBE calculation of an optimized crystal structure of Pu2ZnSi4Pd3, from the Alexandria database.

a b c (Å): 4.1822 4.1822 10.0726
angles (deg): 90.00 90.00 90.00
With the nearest neighbours (Å) after each atom.
Space group P-4m2 (No. 115)
Inequivalent atoms, fractional coordinates:
Pu1 0.0000 0.5000 0.2489  8 Si 3.16-3.26, 6 Pd 3.22-3.28, 2 Zn 3.28
Zn1 0.0000 0.0000 0.5000  4 Si 2.52
Si1 0.0000 0.0000 0.0000  4 Pd 2.42
Si2 0.0000 0.5000 0.6404  3 Pd 2.40-2.52, 2 Zn 2.52
Si3 0.5000 0.5000 0.0000  4 Pd 2.42
Pd1 0.0000 0.5000 0.8788  5 Si 2.40-2.42
Pd2 0.5000 0.5000 0.5000  4 Si 2.52

As for the final energy: -7.311 eV per atom. The value obtained for the total moment is 1.04 μB/atom. The formation energy (no corrections) comes out at -590.1 meV per atom. The calculated volume comes out at 17.62 Å³ per atom.



[2]
The following is a PBE calculation of an optimized crystal structure of PuZnSiPd, from the Alexandria database.

a b c (Å): 6.5831 6.5831 6.5831
angles (deg): 90.00 90.00 90.00
With the nearest neighbours (Å) after each atom.
Space group F-43m (No. 216)
Inequivalent atoms, fractional coordinates:
Pu1 0.0000 0.0000 0.0000  4 Si 2.85, 4 Zn 2.85
Zn1 0.2500 0.2500 0.7500  4 Pu 2.85, 4 Pd 2.85
Si1 0.2500 0.2500 0.2500  4 Pd 2.85, 4 Pu 2.85
Pd1 0.0000 0.0000 0.5000  4 Zn 2.85, 4 Si 2.85

As for the final energy: -6.835 eV per atom. The value obtained for the total moment is 1.41 μB/atom. The formation energy (no corrections) comes out at -280.0 meV per atom. The calculated volume comes out at 17.83 Å³ per atom.



[3]
The following is a PBE calculation of an optimized crystal structure of SmPuPd6, from the Alexandria database.

a b c (Å): 4.1548 4.1548 8.3188
angles (deg): 90.00 90.00 90.00
With the nearest neighbours (Å) after each atom.
Space group P4/mmm (No. 123)
Inequivalent atoms, fractional coordinates:
Sm1 0.0000 0.0000 0.0000  12 Pd 2.94-2.97
Pu1 0.0000 0.0000 0.5000  12 Pd 2.91-2.94
Pd1 0.0000 0.5000 0.2553  2 Pu 2.91, 8 Pd 2.91-2.97, 2 Sm 2.97
Pd2 0.5000 0.5000 0.0000  4 Sm 2.94, 8 Pd 2.97
Pd3 0.5000 0.5000 0.5000  8 Pd 2.91, 4 Pu 2.94

The calculation puts the formation energy at -0.69 eV/atom. As for the final energy: -6.966 eV per atom. The value obtained for the total moment is 0.52 μB/atom. The calculated volume comes out at 17.95 Å³ per atom.